A plane-wave DFT calculation with PBE was carried out for crystalline Ho3Co2B2P3 at its relaxed geometry.

abc: 3.842 3.842 21.772
angles: 90.00 90.00 90.00
Space group I4/mmm (No. 139)
Unique sites:
Ho 0.000 0.000 0.000 (multiplicity 2)
Ho 0.000 0.000 0.362 (multiplicity 4)
Co 0.000 0.500 0.250 (multiplicity 4)
B 0.000 0.000 0.215 (multiplicity 4)
P 0.000 0.000 0.124 (multiplicity 4)
P 0.000 0.000 0.500 (multiplicity 2)

Its theoretical density is 7.52 g/cm3. The calculation puts the total energy at -6.64 eV per atom.



A plane-wave DFT calculation with PBE was carried out for crystalline Ho2TmCo2B2P3 at its relaxed geometry.

abc: 3.833 3.833 21.767
angles: 90.00 90.00 90.00
Space group I4/mmm (No. 139)
Unique sites:
Ho 0.000 0.000 0.138 (multiplicity 4)
Tm 0.000 0.000 0.500 (multiplicity 2)
Co 0.000 0.500 0.250 (multiplicity 4)
B 0.000 0.000 0.286 (multiplicity 4)
P 0.000 0.000 0.000 (multiplicity 2)
P 0.000 0.000 0.376 (multiplicity 4)

Its theoretical density is 7.59 g/cm3. The calculation puts the total energy at -6.64 eV per atom.



A plane-wave DFT calculation with PBE was carried out for crystalline Y2HoCo2B2P3 at its relaxed geometry.

abc: 3.852 3.852 21.818
angles: 90.00 90.00 90.00
Space group I4/mmm (No. 139)
Unique sites:
Y 0.000 0.000 0.138 (multiplicity 4)
Ho 0.000 0.000 0.500 (multiplicity 2)
Co 0.000 0.500 0.250 (multiplicity 4)
B 0.000 0.000 0.285 (multiplicity 4)
P 0.000 0.000 0.000 (multiplicity 2)
P 0.000 0.000 0.375 (multiplicity 4)

Its theoretical density is 5.90 g/cm3. The calculation puts the total energy at -7.02 eV per atom.



A plane-wave DFT calculation with PBE was carried out for crystalline YHoCo2B2P2 at its relaxed geometry.

abc: 3.789 3.789 8.130
angles: 90.00 90.00 90.00
Space group P4mm (No. 99)
Unique sites:
Y 0.000 0.000 0.000 (multiplicity 1)
Ho 0.500 0.500 0.580 (multiplicity 1)
Co 0.000 0.500 0.291 (multiplicity 2)
B 0.000 0.000 0.395 (multiplicity 1)
B 0.500 0.500 0.185 (multiplicity 1)
P 0.000 0.000 0.641 (multiplicity 1)
P 0.500 0.500 0.938 (multiplicity 1)

Its theoretical density is 6.48 g/cm3. The calculation puts the total energy at -6.92 eV per atom.



A plane-wave DFT calculation with PBE was carried out for crystalline HoCo2SiB at its relaxed geometry.

abc: 3.725 3.725 9.265
angles: 90.00 90.00 90.00
Space group I4mm (No. 107)
Unique sites:
Ho 0.000 0.000 0.000 (multiplicity 2)
Co 0.000 0.500 0.269 (multiplicity 4)
Si 0.000 0.000 0.631 (multiplicity 2)
B 0.000 0.000 0.375 (multiplicity 2)

Its theoretical density is 8.31 g/cm3. The calculation puts the total energy at -6.83 eV per atom.



A plane-wave DFT calculation with PBE was carried out for crystalline InCoB4 at its relaxed geometry.

abc: 3.038 5.271 7.181
angles: 90.00 90.00 90.00
Space group Immm (No. 71)
Unique sites:
In 0.000 0.000 0.000 (multiplicity 2)
Co 0.000 0.000 0.500 (multiplicity 2)
B 0.000 0.336 0.245 (multiplicity 8)

Its theoretical density is 6.27 g/cm3. The calculation puts the total energy at -5.64 eV per atom. As for the relative energy among the computed polymorphs: 0.855 eV per formula unit.



A plane-wave DFT calculation with PBE was carried out for crystalline InCoB4 at its relaxed geometry.

abc: 3.0581 3.0581 7.4606
angles: 90.00 90.00 120.00
Space group P6/mmm (No. 191)
Unique sites:
In 0.0000 0.0000 0.0000 (multiplicity 1)
Co 0.0000 0.0000 0.5000 (multiplicity 1)
B 0.3333 0.6667 0.3195 (multiplicity 4)

Its theoretical density is 5.96 g/cm3. The calculation puts the total energy at -5.78 eV per atom. As for the relative energy among the computed polymorphs: 0.000 eV per formula unit.



A plane-wave DFT calculation with PBE was carried out for crystalline CoBIr at its relaxed geometry.

abc: 5.343 5.343 5.343
angles: 90.00 90.00 90.00
Space group F-43m (No. 216)
Unique sites:
Co 0.000 0.000 0.000 (multiplicity 4)
B 0.000 0.000 0.500 (multiplicity 4)
Ir 0.250 0.250 0.750 (multiplicity 4)

Its theoretical density is 11.41 g/cm3. The calculation puts the total energy at -7.03 eV per atom.